First-principles (PBE) data for a geometry-optimized KMnCo2 structure, as listed in Alexandria via LeMat-Bulk.

```
4
Lattice="0.000 3.063 3.063 3.063 0.000 3.063 3.063 3.063 0.000" Properties=species:S:1:pos:R:3 pbc="T T T"
K 0.000 0.000 0.000
Mn 3.063 3.063 3.063
Co 1.532 1.532 1.532
Co 4.595 4.595 4.595
```

**Polymorph energy (0 for the lowest one)**: 4.05 eV per formula unit
**Calculated volume**: 14.4 Å³ per atom
**Space group**: Fm-3m, No. 225
**Energy of formation from the pure elements**: 6.6 eV/f.u.
**M_tot**: 0.02 μB/cell
**Electronic total energy**: -4.480 eV per atom
**Fermi-level density of states**: 11.3 states/eV/cell
**Crystal system**: cubic


First-principles (PBE) data for a geometry-optimized K2MnCo structure, as listed in Alexandria via LeMat-Bulk.

```
4
Lattice="4.141 -0.136 0.034 2.498 3.306 0.034 1.837 0.877 9.518" Properties=species:S:1:pos:R:3 pbc="T T T"
Co 2.150 1.027 3.577
K 6.492 3.100 1.050
K 6.431 3.071 6.207
Mn 4.280 2.044 3.612
```

**Polymorph energy (0 for the lowest one)**: 0.29 eV per formula unit
**Calculated volume**: 33.3 Å³ per atom
**Space group**: Cm, No. 8
**Energy of formation from the pure elements**: 3.0 eV/f.u.
**M_tot**: 4.33 μB/cell
**Electronic total energy**: -3.879 eV per atom
**Fermi-level density of states**: 4.7 states/eV/cell
**Crystal system**: monoclinic


First-principles (PBE) data for a geometry-optimized KMnCo2 structure, as listed in Alexandria via LeMat-Bulk.

```
4
Lattice="5.722 -0.004 -0.004 2.633 5.081 0.004 -3.253 -4.060 2.383" Properties=species:S:1:pos:R:3 pbc="T T T"
Co 0.352 0.214 0.000
Co 3.825 2.324 0.000
K 3.324 -0.763 1.189
Mn 1.779 1.779 1.193
```

**Polymorph energy (0 for the lowest one)**: 1.56 eV per formula unit
**Calculated volume**: 17.3 Å³ per atom
**Space group**: Immm, No. 71
**Energy of formation from the pure elements**: 4.1 eV/f.u.
**M_tot**: 6.59 μB/cell
**Electronic total energy**: -5.101 eV per atom
**Fermi-level density of states**: 4.0 states/eV/cell
**Crystal system**: orthorhombic


First-principles (PBE) data for a geometry-optimized KMnCo3 structure, as listed in Alexandria via LeMat-Bulk.

```
5
Lattice="-1.725 -3.419 -2.121 3.217 0.214 -2.961 2.417 -2.725 2.428" Properties=species:S:1:pos:R:3 pbc="T T T"
K 1.954 -2.965 -1.327
Mn 0.000 0.000 0.000
Co 1.608 0.107 -1.481
Co 1.208 -1.363 1.214
Co -0.862 -1.709 -1.060
```

**Polymorph energy (0 for the lowest one)**: 0.00 eV per formula unit
**Calculated volume**: 16.8 Å³ per atom
**Space group**: Pm-3m, No. 221
**Energy of formation from the pure elements**: 6.1 eV/f.u.
**M_tot**: 2.41 μB/cell
**Electronic total energy**: -5.089 eV per atom
**Fermi-level density of states**: 5.4 states/eV/cell
**Crystal system**: cubic


First-principles (PBE) data for a geometry-optimized KMn2Co structure, as listed in Alexandria via LeMat-Bulk.

```
4
Lattice="3.001 0.000 0.000 0.000 2.993 0.165 0.000 2.562 8.256" Properties=species:S:1:pos:R:3 pbc="T T T"
Co 0.000 2.817 3.457
K 1.500 4.171 6.117
Mn 0.000 2.958 0.899
Mn 1.500 1.379 2.324
```

**Polymorph energy (0 for the lowest one)**: 0.57 eV per formula unit
**Calculated volume**: 18.2 Å³ per atom
**Space group**: Pm, No. 6
**Energy of formation from the pure elements**: 2.9 eV/f.u.
**M_tot**: 6.67 μB/cell
**Electronic total energy**: -5.920 eV per atom
**Fermi-level density of states**: 4.2 states/eV/cell
**Crystal system**: monoclinic


First-principles (PBE) data for a geometry-optimized KMn2Co structure, as listed in Alexandria via LeMat-Bulk.

```
4
Lattice="-3.669 2.848 -2.321 1.993 -3.560 -3.212 -1.955 -1.843 0.829" Properties=species:S:1:pos:R:3 pbc="T T T"
Co -2.812 0.503 -0.746
K 0.019 -2.701 -1.191
Mn 0.000 0.000 0.000
Mn -0.838 -0.356 -2.767
```

**Polymorph energy (0 for the lowest one)**: 2.54 eV per formula unit
**Calculated volume**: 17.6 Å³ per atom
**Space group**: Cmmm, No. 65
**Energy of formation from the pure elements**: 4.8 eV/f.u.
**M_tot**: 9.21 μB/cell
**Electronic total energy**: -5.426 eV per atom
**Fermi-level density of states**: 4.6 states/eV/cell
**Crystal system**: orthorhombic